1.
A relaxed Cd2CoSb crystal, computed with PBE.

## Properties
VASP energy = -12.61 eV per cell
Space group = No. 99
ΔE_f (raw) = 0.112 eV per atom

Lattice parameters (Å, degrees): 3.089 3.089 8.698 90.00 90.00 90.00
Element x y z (fractional)
Cd (0.000, 0.000, 0.000)
Cd (0.500, 0.500, 0.274)
Co (0.000, 0.000, 0.479)
Sb (0.500, 0.500, 0.649)

2.
A relaxed ScHg2Se crystal, computed with PBE.

## Properties
VASP energy = -11.71 eV per cell
Space group = No. 216
ΔE_f (raw) = -0.322 eV per atom

Lattice parameters (Å, degrees): 5.031 5.031 5.031 60.00 60.00 60.00
Element x y z (fractional)
Sc (0.000, 0.000, 0.000)
Hg (0.250, 0.250, 0.250)
Hg (0.500, 0.500, 0.500)
Se (0.750, 0.750, 0.750)

3.
A relaxed Lu2TiCo crystal, computed with PBE.

## Properties
VASP energy = -24.05 eV per cell
Space group = No. 123
ΔE_f = -1 meV/atom
Energy above the lowest structure with this stoichiometry = 0.00 eV/f.u.

Lattice parameters (Å, degrees): 3.291 3.291 7.441 90.00 90.00 90.00
Element x y z (fractional)
Lu (0.000, 0.000, 0.214)
Lu (0.000, 0.000, 0.786)
Ti (0.500, 0.500, 0.500)
Co (0.500, 0.500, 0.000)